VASP calculation (GGA-PBE) on ZnHg after structural relaxation. Values from VASP.

Quantum ESPRESSO input file:
```
&SYSTEM
  ibrav = 0, nat = 8, ntyp = 2
/
ATOMIC_SPECIES
Hg 200.59 Hg.upf
Zn 65.41 Zn.upf
ATOMIC_POSITIONS crystal
Hg 0.529 0.756 0.000
Hg 0.804 0.256 0.500
Hg 0.029 0.494 0.000
Hg 0.304 0.994 0.500
Zn 0.989 0.001 0.000
Zn 0.344 0.501 0.500
Zn 0.844 0.749 0.500
Zn 0.489 0.249 0.000
CELL_PARAMETERS angstrom
-4.568 2.831 -1.378
-2.338 -1.426 4.822
1.979 4.275 2.224
```

- Energy of formation from the pure elements: 135 meV/atom

VASP calculation (GGA-PBE) on ZnHg2 after structural relaxation. Values from VASP.

Quantum ESPRESSO input file:
```
&SYSTEM
  ibrav = 0, nat = 6, ntyp = 2
/
ATOMIC_SPECIES
Hg 200.59 Hg.upf
Zn 65.41 Zn.upf
ATOMIC_POSITIONS crystal
Hg 0.625 0.625 0.625
Hg 0.125 0.625 0.625
Hg 0.625 0.625 0.125
Hg 0.625 0.125 0.625
Zn 0.250 0.250 0.250
Zn 0.000 0.000 0.000
CELL_PARAMETERS angstrom
0.000 4.453 4.453
4.453 0.000 4.453
4.453 4.453 0.000
```

- Energy of formation from the pure elements: 260 meV/atom

VASP calculation (GGA-PBE) on Zn4Hg3 after structural relaxation. Values from VASP.

Quantum ESPRESSO input file:
```
&SYSTEM
  ibrav = 0, nat = 14, ntyp = 2
/
ATOMIC_SPECIES
Zn 65.41 Zn.upf
Hg 200.59 Hg.upf
ATOMIC_POSITIONS crystal
Zn 0.143 0.286 0.000
Zn 0.809 0.952 0.500
Zn 0.588 0.130 0.000
Zn 0.987 0.997 0.000
Zn 0.965 0.241 0.500
Zn 0.098 0.508 0.500
Zn 0.365 0.108 0.500
Zn 0.854 0.730 0.000
Hg 0.275 0.557 0.000
Hg 0.213 0.820 0.500
Hg 0.740 0.418 0.000
Hg 0.538 0.356 0.500
Hg 0.678 0.681 0.500
Hg 0.414 0.882 0.000
CELL_PARAMETERS angstrom
5.021 5.801 0.000
-2.509 7.250 0.000
0.000 0.000 5.231
```

- Energy of formation from the pure elements: 129 meV/atom

VASP calculation (GGA-PBE) on ZnHg after structural relaxation. Values from VASP.

Quantum ESPRESSO input file:
```
&SYSTEM
  ibrav = 0, nat = 2, ntyp = 2
/
ATOMIC_SPECIES
Hg 200.59 Hg.upf
Zn 65.41 Zn.upf
ATOMIC_POSITIONS crystal
Hg 0.000 0.000 0.000
Zn 0.500 0.500 0.500
CELL_PARAMETERS angstrom
0.000 2.811 2.811
2.811 0.000 2.811
2.811 2.811 0.000
```

- Energy of formation from the pure elements: 120 meV/atom

VASP calculation (GGA-PBE) on ZnHg after structural relaxation. Values from VASP.

Quantum ESPRESSO input file:
```
&SYSTEM
  ibrav = 0, nat = 12, ntyp = 2
/
ATOMIC_SPECIES
Hg 200.59 Hg.upf
Zn 65.41 Zn.upf
ATOMIC_POSITIONS crystal
Hg 0.161 0.526 0.500
Hg 0.544 0.890 0.500
Hg 0.728 0.196 0.000
Hg 0.345 0.832 0.000
Hg 0.319 0.323 0.000
Hg 0.570 0.399 0.500
Zn 0.213 0.047 0.500
Zn 0.997 0.560 0.000
Zn 0.007 0.971 0.000
Zn 0.892 0.162 0.500
Zn 0.881 0.751 0.500
Zn 0.676 0.675 0.000
CELL_PARAMETERS angstrom
7.227 -1.591 0.000
0.026 6.478 0.000
0.000 0.000 5.187
```

- Energy of formation from the pure elements: 118 meV/atom

VASP calculation (GGA-PBE) on Zn4Hg3 after structural relaxation. Values from VASP.

Quantum ESPRESSO input file:
```
&SYSTEM
  ibrav = 0, nat = 14, ntyp = 2
/
ATOMIC_SPECIES
Hg 200.59 Hg.upf
Zn 65.41 Zn.upf
ATOMIC_POSITIONS crystal
Hg 0.216 0.823 0.500
Hg 0.394 0.104 0.500
Hg 0.849 0.736 0.000
Hg 0.307 0.558 0.000
Hg 0.675 0.645 0.500
Hg 0.130 0.277 0.000
Zn 0.807 0.969 0.500
Zn 0.541 0.366 0.500
Zn 0.429 0.857 0.000
Zn 0.938 0.236 0.500
Zn 0.586 0.145 0.000
Zn 0.716 0.412 0.000
Zn 0.095 0.524 0.500
Zn 0.983 0.015 0.000
CELL_PARAMETERS angstrom
-6.441 -4.198 -1.480
-5.276 -1.203 5.658
-2.422 4.198 -1.366
```

- Energy of formation from the pure elements: 135 meV/atom

VASP calculation (GGA-PBE) on ZnHg2 after structural relaxation. Values from VASP.

Quantum ESPRESSO input file:
```
&SYSTEM
  ibrav = 0, nat = 6, ntyp = 2
/
ATOMIC_SPECIES
Zn 65.41 Zn.upf
Hg 200.59 Hg.upf
ATOMIC_POSITIONS crystal
Zn 0.250 0.250 0.250
Zn 0.500 0.500 0.500
Hg 0.375 0.375 0.875
Hg 0.375 0.875 0.375
Hg 0.875 0.375 0.375
Hg 0.375 0.375 0.375
CELL_PARAMETERS angstrom
-7.810 0.771 -3.924
-7.332 -1.978 4.394
-5.517 6.377 2.424
```

- Energy of formation from the pure elements: 260 meV/atom

VASP calculation (GGA-PBE) on ZnHg after structural relaxation. Values from VASP.

Quantum ESPRESSO input file:
```
&SYSTEM
  ibrav = 0, nat = 12, ntyp = 2
/
ATOMIC_SPECIES
Hg 200.59 Hg.upf
Zn 65.41 Zn.upf
ATOMIC_POSITIONS crystal
Hg 0.880 0.493 0.500
Hg 0.894 0.140 0.500
Hg 0.946 0.678 0.000
Hg 0.394 0.693 0.500
Hg 0.380 0.340 0.500
Hg 0.445 0.155 0.000
Zn 0.955 0.007 0.000
Zn 0.456 0.827 0.000
Zn 0.431 0.501 0.000
Zn 0.931 0.332 0.000
Zn 0.895 0.824 0.500
Zn 0.395 0.009 0.500
CELL_PARAMETERS angstrom
-0.269 -5.113 1.896
5.568 1.890 5.889
-3.920 1.413 3.253
```

- Energy of formation from the pure elements: 124 meV/atom

VASP calculation (GGA-PBE) on ZnHg after structural relaxation. Values from VASP.

Quantum ESPRESSO input file:
```
&SYSTEM
  ibrav = 0, nat = 4, ntyp = 2
/
ATOMIC_SPECIES
Zn 65.41 Zn.upf
Hg 200.59 Hg.upf
ATOMIC_POSITIONS crystal
Zn 0.053 0.000 0.000
Zn 0.780 0.500 0.500
Hg 0.561 0.500 0.000
Hg 0.272 0.000 0.500
CELL_PARAMETERS angstrom
4.733 0.000 0.000
0.000 3.205 0.000
0.000 0.000 5.360
```

- Energy of formation from the pure elements: 120 meV/atom

VASP calculation (GGA-PBE) on Zn28Hg after structural relaxation. Values from VASP.

Quantum ESPRESSO input file:
```
&SYSTEM
  ibrav = 0, nat = 29, ntyp = 2
/
ATOMIC_SPECIES
Zn 65.41 Zn.upf
Hg 200.59 Hg.upf
ATOMIC_POSITIONS crystal
Zn 0.191 0.000 0.385
Zn 0.418 0.000 0.687
Zn 0.809 0.194 0.809
Zn 0.615 0.615 0.806
Zn 0.643 0.000 0.000
Zn 0.385 0.191 0.000
Zn 0.418 0.687 0.000
Zn 0.000 0.191 0.385
Zn 0.191 0.385 0.000
Zn 0.000 0.000 0.643
Zn 0.000 0.643 0.000
Zn 0.806 0.615 0.615
Zn 0.809 0.809 0.194
Zn 0.313 0.313 0.731
Zn 0.582 0.582 0.269
Zn 0.615 0.806 0.615
Zn 0.385 0.000 0.191
Zn 0.687 0.000 0.418
Zn 0.000 0.687 0.418
Zn 0.731 0.313 0.313
Zn 0.000 0.385 0.191
Zn 0.000 0.418 0.687
Zn 0.687 0.418 0.000
Zn 0.313 0.731 0.313
Zn 0.194 0.809 0.809
Zn 0.357 0.357 0.357
Zn 0.582 0.269 0.582
Zn 0.269 0.582 0.582
Hg 0.000 0.000 0.000
CELL_PARAMETERS angstrom
-4.799 4.799 4.799
4.799 -4.799 4.799
4.799 4.799 -4.799
```

- Energy of formation from the pure elements: 58 meV/atom

VASP calculation (GGA-PBE) on ZnHg after structural relaxation. Values from VASP.

Quantum ESPRESSO input file:
```
&SYSTEM
  ibrav = 0, nat = 8, ntyp = 2
/
ATOMIC_SPECIES
Zn 65.41 Zn.upf
Hg 200.59 Hg.upf
ATOMIC_POSITIONS crystal
Zn 0.333 0.667 0.500
Zn 0.476 0.524 0.000
Zn 0.476 0.952 0.000
Zn 0.048 0.524 0.000
Hg 0.357 0.178 0.500
Hg 0.822 0.178 0.500
Hg 0.000 0.000 0.000
Hg 0.822 0.643 0.500
CELL_PARAMETERS angstrom
-4.320 -1.405 -4.704
3.350 -4.806 2.905
-3.191 -0.384 3.045
```

- Energy of formation from the pure elements: 144 meV/atom

VASP calculation (GGA-PBE) on ZnHg after structural relaxation. Values from VASP.

Quantum ESPRESSO input file:
```
&SYSTEM
  ibrav = 0, nat = 12, ntyp = 2
/
ATOMIC_SPECIES
Zn 65.41 Zn.upf
Hg 200.59 Hg.upf
ATOMIC_POSITIONS crystal
Zn 0.696 0.765 0.000
Zn 0.014 0.031 0.000
Zn 0.208 0.024 0.500
Zn 0.523 0.868 0.500
Zn 0.526 0.290 0.500
Zn 0.700 0.188 0.000
Hg 0.350 0.910 0.000
Hg 0.813 0.638 0.500
Hg 0.409 0.418 0.000
Hg 0.221 0.535 0.500
Hg 0.872 0.147 0.500
Hg 0.001 0.521 0.000
CELL_PARAMETERS angstrom
7.266 -1.120 0.000
0.393 6.369 0.000
0.000 0.000 5.236
```

- Energy of formation from the pure elements: 101 meV/atom

VASP calculation (GGA-PBE) on ZnHg after structural relaxation. Values from VASP.

Quantum ESPRESSO input file:
```
&SYSTEM
  ibrav = 0, nat = 12, ntyp = 2
/
ATOMIC_SPECIES
Hg 200.59 Hg.upf
Zn 65.41 Zn.upf
ATOMIC_POSITIONS crystal
Hg 0.898 0.728 0.500
Hg 0.483 0.809 0.500
Hg 0.677 0.738 0.000
Hg 0.545 0.318 0.500
Hg 0.324 0.327 0.000
Hg 0.739 0.247 0.000
Zn 0.190 0.480 0.500
Zn 0.032 0.576 0.000
Zn 0.327 0.842 0.000
Zn 0.198 0.047 0.500
Zn 0.024 0.008 0.000
Zn 0.895 0.214 0.500
CELL_PARAMETERS angstrom
7.420 -1.082 0.000
0.386 6.279 0.000
0.000 0.000 5.187
```

- Energy of formation from the pure elements: 106 meV/atom

VASP calculation (GGA-PBE) on Zn3Hg after structural relaxation. Values from VASP.

Quantum ESPRESSO input file:
```
&SYSTEM
  ibrav = 0, nat = 8, ntyp = 2
/
ATOMIC_SPECIES
Hg 200.59 Hg.upf
Zn 65.41 Zn.upf
ATOMIC_POSITIONS crystal
Hg 0.314 0.500 0.500
Hg 0.019 0.000 0.000
Zn 0.822 0.761 0.500
Zn 0.512 0.261 0.000
Zn 0.989 0.500 0.000
Zn 0.344 0.000 0.500
Zn 0.822 0.239 0.500
Zn 0.512 0.739 0.000
CELL_PARAMETERS angstrom
4.761 0.000 0.000
0.000 5.687 0.000
0.000 0.000 5.027
```

- Energy of formation from the pure elements: 97 meV/atom

VASP calculation (GGA-PBE) on Zr2Zn2Hg after structural relaxation. Values from VASP.

Quantum ESPRESSO input file:
```
&SYSTEM
  ibrav = 0, nat = 10, ntyp = 3
/
ATOMIC_SPECIES
Hg 200.59 Hg.upf
Zr 91.22 Zr.upf
Zn 65.41 Zn.upf
ATOMIC_POSITIONS crystal
Hg 0.000 0.000 0.000
Hg 0.500 0.500 0.000
Zr 0.168 0.668 0.500
Zr 0.832 0.332 0.500
Zr 0.668 0.832 0.500
Zr 0.332 0.168 0.500
Zn 0.871 0.629 0.000
Zn 0.129 0.371 0.000
Zn 0.629 0.129 0.000
Zn 0.371 0.871 0.000
CELL_PARAMETERS angstrom
6.837 0.000 0.000
0.000 6.837 0.000
0.000 0.000 4.082
```

- Energy of formation from the pure elements: -253 meV/atom

VASP calculation (GGA-PBE) on ZrHg after structural relaxation. Values from VASP.

Quantum ESPRESSO input file:
```
&SYSTEM
  ibrav = 0, nat = 2, ntyp = 2
/
ATOMIC_SPECIES
Zr 91.22 Zr.upf
Hg 200.59 Hg.upf
ATOMIC_POSITIONS crystal
Zr 0.500 0.500 0.500
Hg 0.000 0.000 0.000
CELL_PARAMETERS angstrom
3.109 0.000 0.000
0.000 3.109 0.000
0.000 0.000 4.394
```

- Energy of formation from the pure elements: -168 meV/atom

VASP calculation (GGA-PBE) on ZrHg after structural relaxation. Values from VASP.

Quantum ESPRESSO input file:
```
&SYSTEM
  ibrav = 0, nat = 12, ntyp = 2
/
ATOMIC_SPECIES
Zr 91.22 Zr.upf
Hg 200.59 Hg.upf
ATOMIC_POSITIONS crystal
Zr 0.203 0.051 0.500
Zr 0.873 0.218 0.500
Zr 0.019 0.005 0.000
Zr 0.019 0.505 0.000
Zr 0.349 0.837 0.000
Zr 0.203 0.551 0.500
Hg 0.540 0.890 0.500
Hg 0.682 0.166 0.000
Hg 0.334 0.337 0.000
Hg 0.540 0.383 0.500
Hg 0.682 0.672 0.000
Hg 0.888 0.719 0.500
CELL_PARAMETERS angstrom
8.123 -1.613 0.000
-0.032 6.286 0.000
0.000 0.000 5.192
```

- Energy of formation from the pure elements: -35 meV/atom

VASP calculation (GGA-PBE) on ZrHg after structural relaxation. Values from VASP.

Quantum ESPRESSO input file:
```
&SYSTEM
  ibrav = 0, nat = 8, ntyp = 2
/
ATOMIC_SPECIES
Hg 200.59 Hg.upf
Zr 91.22 Zr.upf
ATOMIC_POSITIONS crystal
Hg 0.000 0.000 0.000
Hg 0.830 0.170 0.500
Hg 0.340 0.170 0.500
Hg 0.830 0.660 0.500
Zr 0.495 0.991 0.000
Zr 0.009 0.505 0.000
Zr 0.333 0.667 0.500
Zr 0.495 0.505 0.000
CELL_PARAMETERS angstrom
-3.561 4.597 2.458
-2.731 -5.103 -2.522
0.140 -2.317 4.537
```

- Energy of formation from the pure elements: 42 meV/atom

VASP calculation (GGA-PBE) on Zr3Hg after structural relaxation. Values from VASP.

Quantum ESPRESSO input file:
```
&SYSTEM
  ibrav = 0, nat = 8, ntyp = 2
/
ATOMIC_SPECIES
Zr 91.22 Zr.upf
Hg 200.59 Hg.upf
ATOMIC_POSITIONS crystal
Zr 0.498 0.997 0.000
Zr 0.835 0.165 0.500
Zr 0.498 0.502 0.000
Zr 0.330 0.165 0.500
Zr 0.835 0.670 0.500
Zr 0.003 0.502 0.000
Hg 0.000 0.000 0.000
Hg 0.333 0.667 0.500
CELL_PARAMETERS angstrom
5.418 -3.128 0.000
0.000 6.256 0.000
0.000 0.000 5.193
```

- Energy of formation from the pure elements: -77 meV/atom

VASP calculation (GGA-PBE) on ZrHg after structural relaxation. Values from VASP.

Quantum ESPRESSO input file:
```
&SYSTEM
  ibrav = 0, nat = 12, ntyp = 2
/
ATOMIC_SPECIES
Hg 200.59 Hg.upf
Zr 91.22 Zr.upf
ATOMIC_POSITIONS crystal
Hg 0.923 0.484 0.000
Hg 0.944 0.741 0.500
Hg 0.276 0.824 0.000
Hg 0.299 0.571 0.500
Hg 0.947 0.231 0.500
Hg 0.279 0.314 0.000
Zr 0.276 0.071 0.500
Zr 0.619 0.910 0.500
Zr 0.947 0.985 0.000
Zr 0.624 0.397 0.500
Zr 0.598 0.659 0.000
Zr 0.604 0.146 0.000
CELL_PARAMETERS angstrom
-7.954 -0.591 1.241
1.653 -6.239 -1.243
0.825 -0.762 4.923
```

- Energy of formation from the pure elements: -1 meV/atom

VASP calculation (GGA-PBE) on Zr5Hg after structural relaxation. Values from VASP.

Quantum ESPRESSO input file:
```
&SYSTEM
  ibrav = 0, nat = 6, ntyp = 2
/
ATOMIC_SPECIES
Zr 91.22 Zr.upf
Hg 200.59 Hg.upf
ATOMIC_POSITIONS crystal
Zr 0.000 0.324 0.500
Zr 0.667 0.667 0.000
Zr 0.676 0.000 0.500
Zr 0.324 0.676 0.500
Zr 0.333 0.333 0.000
Hg 0.000 0.000 0.000
CELL_PARAMETERS angstrom
2.739 4.745 0.000
-2.739 4.745 0.000
0.000 0.000 5.217
```

- Energy of formation from the pure elements: -24 meV/atom

VASP calculation (GGA-PBE) on ZrHg after structural relaxation. Values from VASP.

Quantum ESPRESSO input file:
```
&SYSTEM
  ibrav = 0, nat = 16, ntyp = 2
/
ATOMIC_SPECIES
Zr 91.22 Zr.upf
Hg 200.59 Hg.upf
ATOMIC_POSITIONS crystal
Zr 0.421 0.126 0.000
Zr 0.422 0.250 0.500
Zr 0.921 0.250 0.000
Zr 0.912 0.874 0.500
Zr 0.412 0.750 0.500
Zr 0.911 0.750 0.000
Zr 0.912 0.626 0.500
Zr 0.421 0.374 0.000
Hg 0.920 0.372 0.500
Hg 0.918 0.500 0.000
Hg 0.920 0.128 0.500
Hg 0.413 0.872 0.000
Hg 0.415 0.500 0.500
Hg 0.415 0.000 0.500
Hg 0.413 0.628 0.000
Hg 0.918 0.000 0.000
CELL_PARAMETERS angstrom
5.252 0.000 0.000
0.000 12.698 0.000
0.000 0.000 5.200
```

- Energy of formation from the pure elements: -49 meV/atom